# CsMg4Tl2

CsMg4Tl2 after structural relaxation (GGA-PBE, the Alexandria database).

Unit cell a=4.744 b=4.573 c=10.822 alpha=102.20 beta=90.00 gamma=90.00
Positions (direct):
Tl: 0.500 0.607 0.213
Mg: 0.500 0.202 0.403
Mg: 0.500 0.798 0.597
Tl: 0.500 0.393 0.787
Mg: 0.000 0.697 0.395
Mg: 0.000 0.303 0.605
Cs: 0.000 0.000 0.000

Values from the calculation:
Total moment = 0.000 μB per formula unit
Crystal system = orthorhombic
Symmetry = No. 65
E_form = 0.001 eV per atom
Calculated density = 4.62 g/cm3